A plane-wave DFT calculation with PBE was carried out for a geometry-optimized LiTiB structure.

- energy above the most stable polymorph in this dataset (meV per atom) = 292
- energy of formation from the pure elements (eV/atom) = -0.1196
- space-group type = Cm (8)

abc: 11.3294 4.3392 4.3392
angles: 139.76 139.34 40.66
Positions (direct):
Ti 0.2729 0.1555 0.8445
Ti 0.5272 0.1428 0.8572
B 0.5299 0.4220 0.5780
B 0.6094 0.7605 0.2395
Li 0.9960 0.2032 0.7968
Li 0.8433 0.0990 0.9010



A plane-wave DFT calculation with PBE was carried out for a geometry-optimized NaSn structure.

- energy of formation from the pure elements (eV/atom) = -0.0485
- space-group type = P4/m (83)

abc: 9.6441 9.6441 5.2628
angles: 90.00 90.00 90.00
Positions (direct):
Sn 0.2870 0.5765 0.5000
Sn 0.4543 0.8450 0.0000
Sn 0.5457 0.1550 0.0000
Sn 0.4235 0.2870 0.5000
Sn 0.8450 0.5457 0.0000
Sn 0.1550 0.4543 0.0000
Sn 0.5765 0.7130 0.5000
Sn 0.7130 0.4235 0.5000
Na 0.8639 0.2223 0.0000
Na 0.1361 0.7777 0.0000
Na 0.9505 0.6922 0.5000
Na 0.6922 0.0495 0.5000
Na 0.0495 0.3078 0.5000
Na 0.7777 0.8639 0.0000
Na 0.2223 0.1361 0.0000
Na 0.3078 0.9505 0.5000



A plane-wave DFT calculation with PBE was carried out for a geometry-optimized K2CaScF6 structure.

- space-group type = Pmmn (59)
- raw formation energy (eV per atom) = -3.273

abc: 6.4331 6.0996 8.6977
angles: 90.00 90.00 90.00
Each line ends with the local moment (μB).
Positions (direct):
F 0.2445 0.0040 0.0000  0.01
F 0.7807 0.4448 0.5000  0.01
F 0.7555 0.0040 0.0000  0.01
F 0.2193 0.4448 0.5000  0.01
F 0.7193 0.5552 0.0000  0.01
F 0.0000 0.7599 0.7609  0.00
F 0.2555 0.9960 0.5000  0.01
F 0.5000 0.2401 0.2609  0.00
F 0.0000 0.7599 0.2391  0.00
F 0.7445 0.9960 0.5000  0.01
F 0.5000 0.2401 0.7391  0.00
F 0.2807 0.5552 0.0000  0.01
Sc 0.5000 0.2531 0.5000  0.50
Sc 0.0000 0.7469 0.0000  0.50
K 0.0000 0.2291 0.2619  0.01
K 0.5000 0.7709 0.7619  0.01
K 0.0000 0.2291 0.7381  0.01
K 0.5000 0.7709 0.2381  0.01
Ca 0.0000 0.7346 0.5000  0.00
Ca 0.5000 0.2654 0.0000  0.00